Below is crystalline Pm8Tl2Co at its relaxed geometry, with properties calculated at the PBE level.

a = 5.7892 Å, b = 9.3708 Å, c = 9.3708 Å
α = 121.20°, β = 108.73°, γ = 108.73°
Fractional positions:
Pm: 0.2903 0.9090 0.6832
Pm: 0.7399 0.4088 0.1851
Pm: 0.9868 0.1178 0.1178
Pm: 0.0018 0.8183 0.2235
Tl: 0.4925 0.7166 0.3215
Pm: 0.6359 0.6307 0.6307
Co: 0.3280 0.0196 0.0196
Pm: 0.2903 0.6832 0.9090
Pm: 0.7399 0.1851 0.4088
Tl: 0.4925 0.3215 0.7166
Pm: 0.0018 0.2235 0.8183

Output
Space group: Cm, No. 8
DFT formation energy in eV per atom: -0.1443
Electronic total energy in eV per atom: -4.68
Calculated volume in Å³ per atom: 29.9
Distance to the lowest polymorph of the same formula in eV per formula unit: 0.00

Below is crystalline CaUPd14 at its relaxed geometry, with properties calculated at the PBE level.

a = 5.8092 Å, b = 5.8092 Å, c = 7.7621 Å
α = 90.00°, β = 90.00°, γ = 90.00°
Fractional positions:
Pd: 0.6317 0.1183 0.2470
Pd: 0.8750 0.3750 0.0000
Pd: 0.1183 0.6317 0.7530
Pd: 0.8750 0.8750 0.0000
Pd: 0.1184 0.1184 0.2470
Pd: 0.1184 0.1184 0.7530
Pd: 0.3750 0.8750 0.0000
Pd: 0.1183 0.6317 0.2470
Ca: 0.3750 0.3750 0.5000
Pd: 0.6316 0.6316 0.2470
Pd: 0.8750 0.3750 0.5000
Pd: 0.6316 0.6316 0.7530
Pd: 0.3750 0.3750 0.0000
Pd: 0.3750 0.8750 0.5000
Pd: 0.6317 0.1183 0.7530
U: 0.8750 0.8750 0.5000

Output
Space group: P4/mmm, No. 123
DFT formation energy in eV per atom: -0.3091
Electronic total energy in eV per atom: -5.68
Calculated volume in Å³ per atom: 16.4

Below is crystalline RbTl2AgAu at its relaxed geometry, with properties calculated at the PBE level.

a = 5.5703 Å, b = 5.5703 Å, c = 5.4862 Å
α = 90.00°, β = 90.00°, γ = 90.00°
Fractional positions:
Ag: 0.0000 0.0000 0.0000
Tl: 0.0000 0.5000 0.0000
Rb: 0.5000 0.5000 0.5000
Tl: 0.5000 0.0000 0.0000
Au: 0.0000 0.0000 0.5000

Output
Space group: P4/mmm, No. 123
DFT formation energy in eV per atom: 0.0830
Electronic total energy in eV per atom: -2.28
Calculated volume in Å³ per atom: 34.0
Distance to the lowest polymorph of the same formula in eV per formula unit: 0.17

Below is crystalline La2ZnPd6 at its relaxed geometry, with properties calculated at the PBE level.

a = 5.9336 Å, b = 5.8171 Å, c = 5.8171 Å
α = 60.00°, β = 90.01°, γ = 90.01°
Fractional positions:
Pd: 0.3114 0.3452 0.8274
Pd: 0.6887 0.1726 0.1726
Pd: 0.3114 0.8274 0.3452
La: 0.8082 0.6667 0.6667
Zn: 0.0000 0.0000 0.0000
La: 0.1918 0.3333 0.3333
Pd: 0.6886 0.6548 0.1726
Pd: 0.6886 0.1726 0.6548
Pd: 0.3113 0.8274 0.8274

Output
Space group: P-3m1, No. 164
DFT formation energy in eV per atom: -0.7641
Electronic total energy in eV per atom: -5.46
Calculated volume in Å³ per atom: 19.3

Below is crystalline Cs2PdO2 at its relaxed geometry, with properties calculated at the PBE level.

a = 6.1753 Å, b = 7.1460 Å, c = 8.3310 Å
α = 121.79°, β = 90.00°, γ = 115.60°
Fractional positions:
Cs: 0.3125 0.6250 0.3970
Cs: 0.0492 0.0983 0.7817
O: 0.7936 0.5872 0.3643
Cs: 0.9508 0.9017 0.2183
Pd: 0.6196 0.2392 0.1163
O: 0.2064 0.4128 0.6357
Cs: 0.6875 0.3750 0.6030
Pd: 0.3804 0.7608 0.8837
O: 0.4782 0.9564 0.1743
O: 0.5218 0.0436 0.8257

Output
Space group: C2/m, No. 12
Uncorrected formation energy in meV/atom: -876
Electronic total energy in eV per atom: -4.24
Calculated volume in Å³ per atom: 26.9

Below is crystalline Ta2ZnCr at its relaxed geometry, with properties calculated at the PBE level.

a = 3.1512 Å, b = 3.1512 Å, c = 6.2787 Å
α = 90.00°, β = 90.00°, γ = 90.00°
Fractional positions:
Zn: 0.5000 0.5000 0.2500
Ta: 0.0000 0.0000 0.5165
Cr: 0.5000 0.5000 0.7500
Ta: 0.0000 0.0000 0.9835

Output
Space group: P4/mmm, No. 123
DFT formation energy in eV per atom: 0.0176
Electronic total energy in eV per atom: -8.63
Calculated volume in Å³ per atom: 15.6

Below is crystalline SmHo8Sc4 at its relaxed geometry, with properties calculated at the PBE level.

a = 7.0722 Å, b = 7.0722 Å, c = 9.7315 Å
α = 90.00°, β = 111.31°, γ = 120.00°
Fractional positions:
Sm: 0.0000 0.5000 0.5000
Ho: 0.4364 0.2182 0.6545
Ho: 0.4954 0.2477 0.2917
Sc: 0.0000 0.5000 0.0000
Ho: 0.9560 0.2037 0.7083
Ho: 0.5636 0.7818 0.3455
Sc: 0.5000 0.0000 0.0000
Sc: 0.5000 0.5000 0.0000
Ho: 0.0440 0.7963 0.2917
Ho: 0.5046 0.7523 0.7083
Ho: 0.0440 0.2477 0.2917
Ho: 0.9560 0.7523 0.7083
Sc: 0.0000 0.0000 0.0000

Output
Space group: R-3m, No. 166
DFT formation energy in eV per atom: 0.2487
Electronic total energy in eV per atom: -4.88
Calculated volume in Å³ per atom: 29.4

Below is crystalline LaNd2Y3Se6 at its relaxed geometry, with properties calculated at the PBE level.

a = 4.1351 Å, b = 8.4319 Å, c = 9.3622 Å
α = 104.18°, β = 102.76°, γ = 90.00°
Fractional positions:
La: 0.5000 0.0000 0.0000
Se: 0.9977 0.2609 0.9954
Nd: 0.8321 0.6648 0.6642
Se: 0.3291 0.9233 0.6583
Se: 0.3366 0.4088 0.6733
Y: 0.1666 0.8328 0.3331
Nd: 0.1679 0.3352 0.3358
Se: 0.0023 0.7391 0.0046
Se: 0.6634 0.5912 0.3267
Y: 0.8334 0.1672 0.6669
Se: 0.6709 0.0767 0.3417
Y: 0.5000 0.5000 0.0000

Output
Space group: C2/m, No. 12
Uncorrected formation energy in meV/atom: -1834
Electronic total energy in eV per atom: -6.40
Calculated volume in Å³ per atom: 25.7

Below is crystalline ThSb2Pb at its relaxed geometry, with properties calculated at the PBE level.

a = 4.1348 Å, b = 4.1348 Å, c = 10.5971 Å
α = 78.75°, β = 78.75°, γ = 60.00°
Fractional positions:
Sb: 0.0999 0.0999 0.7004
Th: 0.5000 0.5000 0.5000
Pb: 0.0000 0.0000 0.0000
Sb: 0.9001 0.9001 0.2996

Output
Space group: R-3m, No. 166
Uncorrected formation energy in meV/atom: -12
Electronic total energy in eV per atom: -4.85
Calculated volume in Å³ per atom: 38.2
Distance to the lowest polymorph of the same formula in eV per formula unit: 1.81

Below is crystalline Se2IO at its relaxed geometry, with properties calculated at the PBE level.

a = 6.6197 Å, b = 6.6197 Å, c = 6.6197 Å
α = 38.48°, β = 38.48°, γ = 38.48°
Fractional positions:
O: 0.5000 0.5000 0.5000
I: 0.0000 0.0000 0.0000
Se: 0.1513 0.1513 0.1513
Se: 0.8487 0.8487 0.8487

Output
Space group: R-3m, No. 166
Uncorrected formation energy in meV/atom: 377
Electronic total energy in eV per atom: -2.99
Calculated volume in Å³ per atom: 25.2
Distance to the lowest polymorph of the same formula in eV per formula unit: 0.32

Below is crystalline CdIn2P at its relaxed geometry, with properties calculated at the PBE level.

a = 6.8555 Å, b = 6.8555 Å, c = 7.1060 Å
α = 61.16°, β = 61.16°, γ = 90.00°
Fractional positions:
Cd: 0.7500 0.2500 0.5000
In: 0.8750 0.8387 0.7500
In: 0.3750 0.4113 0.7500
In: 0.1613 0.6250 0.2500
P: 0.2500 0.7500 0.5000
In: 0.5887 0.1250 0.2500
P: 0.5000 0.5000 0.0000
Cd: 0.0000 0.0000 0.0000

Output
Space group: I-42d, No. 122
DFT formation energy in eV per atom: 0.1256
Electronic total energy in eV per atom: -2.82
Calculated volume in Å³ per atom: 30.5
Distance to the lowest polymorph of the same formula in eV per formula unit: 0.43

Below is crystalline Nd2TcC2 at its relaxed geometry, with properties calculated at the PBE level.

a = 5.3471 Å, b = 6.7028 Å, c = 10.2482 Å
α = 90.00°, β = 90.00°, γ = 90.00°
Fractional positions:
C: 0.7500 0.9621 0.7425
Nd: 0.2500 0.9724 0.7130
Tc: 0.7500 0.2267 0.6421
C: 0.7500 0.8107 0.0360
C: 0.2500 0.6893 0.5360
C: 0.7500 0.3107 0.4640
Tc: 0.2500 0.7733 0.3579
Nd: 0.7500 0.1856 0.9480
Nd: 0.2500 0.8144 0.0520
Nd: 0.7500 0.5276 0.2130
Nd: 0.2500 0.4724 0.7870
C: 0.2500 0.5379 0.2425
Tc: 0.2500 0.2733 0.1421
Nd: 0.2500 0.3144 0.4480
C: 0.2500 0.1893 0.9640
C: 0.7500 0.4621 0.7575
Nd: 0.7500 0.0276 0.2870
Nd: 0.7500 0.6856 0.5520
C: 0.2500 0.0379 0.2575
Tc: 0.7500 0.7267 0.8579

Output
Space group: Pnma, No. 62
DFT formation energy in eV per atom: -0.2409
Electronic total energy in eV per atom: -7.91
Calculated volume in Å³ per atom: 18.4
Distance to the lowest polymorph of the same formula in eV per formula unit: 0.00

- What is the electronic total energy in the first record?
  -4.68 eV per atom